The following is a GGA+U calculation of crystalline Y2TiCrO6 at its relaxed geometry, from Alexandria via LeMat-Bulk.

Calculated values
For the final energy, the calculation gives -8.621 eV/atom. The magnetic moment is 4.00 Bohr magnetons per cell. As for the symmetry: P4mm, No. 99.

Unit cell a=4.9896 b=5.2228 c=5.2228 alpha=90.00 beta=90.00 gamma=90.00
With the nearest neighbours (Å) after each atom.
Positions (direct):
1 Y 0.9941 0.5000 0.0000  4 O 2.27
2 Y 0.9941 0.0000 0.5000  4 O 2.27
3 Ti 0.5834 0.0000 0.0000  5 O 1.84-1.91
4 Cr 0.5905 0.5000 0.5000  5 O 2.04-2.16
5 O 0.7282 0.2399 0.2399  1 Ti 1.91, 1 Cr 2.04
6 O 0.7282 0.2399 0.7601  1 Ti 1.91, 1 Cr 2.04
7 O 0.1571 0.5000 0.5000  1 Cr 2.16
8 O 0.2146 0.0000 0.0000  1 Ti 1.84
9 O 0.7282 0.7601 0.7601  1 Ti 1.91, 1 Cr 2.04
10 O 0.7282 0.7601 0.2399  1 Ti 1.91, 1 Cr 2.04